[1]
La8In2Ir: optimized geometry, GGA-PBE.

Lattice parameters (Å, degrees): 18.5995 5.6470 7.0739 90.00 109.92 90.00
Last column: nearest neighbours and their distance in Å.
Space group C2/m (No. 12)
Symmetry-distinct sites (fractional):
La (0.0036, 0.0000, 0.2781)  3 La 3.19-3.38, 2 Ir 3.24, 1 In 3.49
La (0.0948, 0.5000, 0.9070)  1 Ir 2.82
La (0.1462, 0.5000, 0.4246)  1 Ir 2.94
La (0.2091, 0.0000, 0.7456)  4 La 3.30-3.64, 3 In 3.39-3.46
In (0.1773, 0.0000, 0.1906)  10 La 3.39-3.77
Ir (0.0000, 0.5000, 0.5000)  4 La 2.82-2.94

Values from the calculation:
- total magnetic moment (μB/f.u.) = 0.0
- ΔE_f (eV per atom) = -0.361


[2]
Tc8Ag: optimized geometry, GGA-PBE.

Lattice parameters (Å, degrees): 8.2714 8.2714 3.9311 90.00 90.00 90.00
Last column: nearest neighbours and their distance in Å.
Space group I4/mmm (No. 139)
Symmetry-distinct sites (fractional):
Tc (0.0000, 0.3409, 0.0000)  11 Tc 2.63-2.80, 1 Ag 2.82
Tc (0.1755, 0.1755, 0.5000)  10 Tc 2.63-2.90, 2 Ag 2.84
Ag (0.0000, 0.0000, 0.0000)  12 Tc 2.82-2.84

Values from the calculation:
- total magnetic moment (μB/f.u.) = 0.0
- ΔE_f (eV per atom) = 0.206


[3]
Y2ZnTe2: optimized geometry, GGA-PBE.

Lattice parameters (Å, degrees): 8.3712 8.3712 3.9279 90.00 90.00 90.00
Last column: nearest neighbours and their distance in Å.
Space group P4/mbm (No. 127)
Symmetry-distinct sites (fractional):
Y (0.1519, 0.3481, 0.0000)  6 Te 3.10-3.17
Zn (0.0000, 0.0000, 0.5000)  4 Te 3.21
Te (0.1459, 0.6459, 0.5000)  6 Y 3.10-3.17, 2 Zn 3.21, 1 Te 3.46

Values from the calculation:
- total magnetic moment (μB/f.u.) = 0.0
- uncorrected formation energy (eV/atom) = -0.808
- excess energy over the best structure of this formula in the dataset (eV/atom) = 0.080


[4]
Ac3PrEr2Se6: optimized geometry, GGA-PBE.

Lattice parameters (Å, degrees): 7.2868 12.6614 7.6612 90.00 108.62 90.00
Last column: nearest neighbours and their distance in Å.
Space group C2/m (No. 12)
Symmetry-distinct sites (fractional):
Ac (0.0000, 0.0000, 0.0000)  6 Se 3.10-3.19
Ac (0.0000, 0.3387, 0.0000)  6 Se 3.12-3.19
Pr (0.0000, 0.5000, 0.5000)  6 Se 2.99-3.01
Er (0.0000, 0.1669, 0.5000)  6 Se 2.87-2.89
Se (0.2265, 0.0000, 0.7190)  2 Er 2.87, 1 Pr 2.99, 3 Ac 3.10-3.17
Se (0.2478, 0.3268, 0.7244)  2 Er 2.89, 1 Pr 3.01, 3 Ac 3.12-3.19

Values from the calculation:
- total magnetic moment (μB/f.u.) = 0.0
- uncorrected formation energy (eV/atom) = -1.799


no.,E (eV per atom)
1,-5.25
2,-9.32
3,-4.90
4,-5.73